(1)
BaSr2Pd9 GGA-PBE optimized geometry; DFT total energy = -58.032 eV per cell
1.0
2.780 1.605 9.001
-2.780 1.605 9.001
0.000 -3.210 9.001
Ba Sr Pd
1 2 9
Cartesian
0.000 0.000 0.000
0.000 0.000 3.784
0.000 0.000 23.219
-1.396 -0.806 11.269
0.000 0.000 8.976
0.000 -1.612 15.734
-1.396 0.806 15.734
0.000 0.000 13.501
1.396 -0.806 11.269
0.000 1.612 11.269
0.000 0.000 18.027
1.396 0.806 15.734

=====

(2)
Cs2DyIBrCl2 GGA-PBE optimized geometry; total moment = 0.79 μB/f.u.; DFT total energy = -25.338 eV per cell
1.0
-2.703 2.703 9.392
2.703 -2.703 9.392
2.703 2.703 -9.392
Cs Dy I Br Cl
2 1 1 1 2
Cartesian
0.000 0.000 0.000
0.000 0.000 5.089
0.000 0.000 11.827
0.000 0.000 14.962
0.000 0.000 8.939
2.703 0.000 2.460
0.000 2.703 2.460